[1]
The following is a DFT calculation (PBE-GGA) of a relaxed structure of DyScZnCu.

The volume comes out at 19.97 Å³ per atom. The formation enthalpy at 0 K is -1.13 eV/f.u. Its crystal system is cubic.

The space group is F-43m (No. 216) and the conventional cell measures 6.837, 6.837 and 6.837 Å, with angles of 90.00, 90.00 and 90.00 degrees. Symmetry generates all atoms from Dy at (0.000, 0.000, 0.000), Sc at (0.000, 0.000, 0.500), Zn at (0.250, 0.250, 0.750) and Cu at (0.250, 0.250, 0.250).


[2]
The following is a DFT calculation (PBE-GGA) of a relaxed structure of NaYZr.

The volume comes out at 28.19 Å³ per atom. The formation enthalpy at 0 K is 1.04 eV/f.u. Its crystal system is monoclinic. The value obtained for the polymorph energy (0 for the lowest one) is 0.759 eV/f.u.

The space group is Cm (No. 8) and the conventional cell measures 12.249, 3.342 and 8.690 Å, with angles of 90.00, 108.04 and 90.00 degrees. Symmetry generates all atoms from Na at (0.000, 0.000, 0.000), Na at (0.135, 0.500, 0.340), Y at (0.221, 0.500, 0.912), Y at (0.363, 0.000, 0.299), Zr at (0.028, 0.000, 0.612) and Zr at (0.323, 0.000, 0.660).


[3]
The following is a DFT calculation (PBE-GGA) of a relaxed structure of Nd4GaSe2.

The calculation puts the energy relative to the elements, uncorrected at -1.144 eV per atom. The volume comes out at 29.71 Å³ per atom. Its crystal system is tetragonal.

The space group is I4_1/amd (No. 141, origin choice 2) and the conventional cell measures 9.452, 9.452 and 9.312 Å, with angles of 90.00, 90.00 and 90.00 degrees. Symmetry generates all atoms from Nd at (0.000, 0.060, 0.191), Ga at (0.000, 0.250, 0.875) and Se at (0.000, 0.000, 0.500).


[4]
The following is a DFT calculation (PBE-GGA) of a relaxed structure of Tb3Ho2Er8.

The volume comes out at 30.65 Å³ per atom. The formation enthalpy at 0 K is 0.27 eV/f.u. Its crystal system is monoclinic. The value obtained for the polymorph energy (0 for the lowest one) is 0.000 eV/f.u.

The space group is C2/m (No. 12) and the conventional cell measures 20.467, 4.964 and 7.866 Å, with angles of 90.00, 94.35 and 90.00 degrees. Symmetry generates all atoms from Tb at (0.000, 0.000, 0.000), Tb at (0.039, 0.500, 0.307), Ho at (0.231, 0.000, 0.846), Er at (0.077, 0.000, 0.615), Er at (0.116, 0.500, 0.922), Er at (0.154, 0.000, 0.231) and Er at (0.193, 0.500, 0.539).


[5]
The following is a DFT calculation (PBE-GGA) of a relaxed structure of Tl3AgPd12.

The volume comes out at 16.75 Å³ per atom. The formation enthalpy at 0 K is -2.18 eV/f.u. Its crystal system is tetragonal.

The space group is P4/mmm (No. 123) and the conventional cell measures 4.079, 4.079 and 16.109 Å, with angles of 90.00, 90.00 and 90.00 degrees. Symmetry generates all atoms from Tl at (0.000, 0.000, 0.000), Tl at (0.000, 0.000, 0.253), Ag at (0.000, 0.000, 0.500), Pd at (0.000, 0.500, 0.127), Pd at (0.000, 0.500, 0.379), Pd at (0.500, 0.500, 0.000), Pd at (0.500, 0.500, 0.255) and Pd at (0.500, 0.500, 0.500).


[6]
The following is a DFT calculation (PBE-GGA) of a relaxed structure of CsK2Hg.

The volume comes out at 67.48 Å³ per atom. The formation enthalpy at 0 K is -0.29 eV/f.u. Its crystal system is trigonal.

The space group is R3m (No. 160, hexagonal axes) and the conventional cell measures 5.5082, 5.5082 and 30.8120 Å, with angles of 90.00, 90.00 and 120.00 degrees. Symmetry generates all atoms from Cs at (0.0000, 0.0000, 0.0000), K at (0.0000, 0.0000, 0.2193), K at (0.0000, 0.0000, 0.4509) and Hg at (0.0000, 0.0000, 0.8361).


[7]
The following is a DFT calculation (PBE-GGA) of a relaxed structure of YNbOsI2.

The calculation puts the energy relative to the elements, uncorrected at 1.634 eV per atom. The volume comes out at 34.42 Å³ per atom. Its crystal system is tetragonal.

The space group is P4/mmm (No. 123) and the conventional cell measures 5.765, 5.765 and 5.178 Å, with angles of 90.00, 90.00 and 90.00 degrees. Symmetry generates all atoms from Y at (0.000, 0.000, 0.000), Nb at (0.500, 0.500, 0.500), Os at (0.000, 0.000, 0.500) and I at (0.000, 0.500, 0.000).


[8]
The following is a DFT calculation (PBE-GGA) of a relaxed structure of TmPdBr.

The calculation puts the energy relative to the elements, uncorrected at -1.153 eV per atom. The volume comes out at 27.47 Å³ per atom. Its crystal system is monoclinic.

The space group is C2/m (No. 12) and the conventional cell measures 6.733, 3.886 and 12.803 Å, with angles of 90.00, 100.25 and 90.00 degrees. Symmetry generates all atoms from Tm at (0.101, 0.000, 0.306), Pd at (0.188, 0.000, 0.563) and Br at (0.116, 0.500, 0.843).


What did the sixth record say?
The following is a DFT calculation (PBE-GGA) of a relaxed structure of CsK2Hg.

The volume comes out at 67.48 Å³ per atom. The formation enthalpy at 0 K is -0.29 eV/f.u. Its crystal system is trigonal.

The space group is R3m (No. 160, hexagonal axes) and the conventional cell measures 5.5082, 5.5082 and 30.8120 Å, with angles of 90.00, 90.00 and 120.00 degrees. Symmetry generates all atoms from Cs at (0.0000, 0.0000, 0.0000), K at (0.0000, 0.0000, 0.2193), K at (0.0000, 0.0000, 0.4509) and Hg at (0.0000, 0.0000, 0.8361).